First-principles (PBE-GGA) data for Sm2ErSbO6 after structural relaxation, as listed in OQMD via LeMat-Bulk.

a = 5.244 Å, b = 5.280 Å, c = 5.858 Å
α = 107.42°, β = 104.68°, γ = 100.61°
Fractional coordinates of all 10 atoms:
1 O 0.179 0.161 0.735
2 O 0.257 0.740 0.071
3 O 0.394 0.351 0.254
4 Er 0.000 0.000 0.000
5 O 0.606 0.649 0.746
6 Sm 0.249 0.747 0.475
7 O 0.821 0.839 0.265
8 O 0.743 0.260 0.929
9 Sm 0.751 0.253 0.525
10 Sb 0.500 0.500 0.000

Computed properties:
**Spin magnetization**: 0.001 μB per atom
**DFT total energy**: -7.2508 eV per atom